The following is a DFT calculation (GGA-PBE) of crystalline TiNb2Zn3 at its relaxed geometry. Values from VASP.

Geometry as Quantum ESPRESSO input:
```
&SYSTEM
  ibrav = 0, nat = 6, ntyp = 3
/
ATOMIC_SPECIES
Ti 47.87 Ti.upf
Nb 92.91 Nb.upf
Zn 65.41 Zn.upf
ATOMIC_POSITIONS crystal
Ti 0.5000 0.5000 0.5000
Nb 0.5000 0.5000 0.8387
Nb 0.5000 0.5000 0.1613
Zn 0.0000 0.0000 0.0000
Zn 0.0000 0.0000 0.6637
Zn 0.0000 0.0000 0.3363
CELL_PARAMETERS angstrom
-0.8901 -3.2663 0.0876
1.5331 -0.3374 3.0008
-7.1694 2.0582 3.8944
```

Crystal system: tetragonal
Formation enthalpy at 0 K in eV per formula unit: -0.2
Size of the total moment in μB per formula unit: 0.00



The following is a DFT calculation (GGA-PBE) of crystalline TiNb3Zn at its relaxed geometry. Values from VASP.

Geometry as Quantum ESPRESSO input:
```
&SYSTEM
  ibrav = 0, nat = 5, ntyp = 3
/
ATOMIC_SPECIES
Nb 92.91 Nb.upf
Zn 65.41 Zn.upf
Ti 47.87 Ti.upf
ATOMIC_POSITIONS crystal
Nb 0.0000 0.5000 0.0000
Nb 0.0000 0.0000 0.5000
Nb 0.5000 0.0000 0.0000
Zn 0.5000 0.5000 0.5000
Ti 0.0000 0.0000 0.0000
CELL_PARAMETERS angstrom
-0.7623 -4.4053 -1.4218
4.0796 -1.3202 1.9034
-2.1874 -0.9271 4.0453
```

Crystal system: cubic
Formation enthalpy at 0 K in eV per formula unit: 5.9
Size of the total moment in μB per formula unit: 0.00



The following is a DFT calculation (GGA-PBE) of crystalline Ti5NbZn2 at its relaxed geometry. Values from VASP.

Geometry as Quantum ESPRESSO input:
```
&SYSTEM
  ibrav = 0, nat = 8, ntyp = 3
/
ATOMIC_SPECIES
Ti 47.87 Ti.upf
Nb 92.91 Nb.upf
Zn 65.41 Zn.upf
ATOMIC_POSITIONS crystal
Ti 0.5000 0.5000 0.0000
Ti 0.8733 0.3733 0.7466
Ti 0.3733 0.8733 0.7466
Ti 0.1267 0.6267 0.2534
Ti 0.6267 0.1267 0.2534
Nb 0.0000 0.0000 0.0000
Zn 0.7492 0.7492 0.4984
Zn 0.2508 0.2508 0.5016
CELL_PARAMETERS angstrom
4.3448 0.0000 -1.1943
-0.3283 4.3323 -1.1943
-0.3401 -0.3669 7.2628
```

Crystal system: tetragonal
Formation enthalpy at 0 K in eV per formula unit: -0.6
Size of the total moment in μB per formula unit: 0.00



The following is a DFT calculation (GGA-PBE) of crystalline TiNb3Zn at its relaxed geometry. Values from VASP.

Geometry as Quantum ESPRESSO input:
```
&SYSTEM
  ibrav = 0, nat = 5, ntyp = 3
/
ATOMIC_SPECIES
Ti 47.87 Ti.upf
Nb 92.91 Nb.upf
Zn 65.41 Zn.upf
ATOMIC_POSITIONS crystal
Ti 0.6296 0.6296 0.2592
Nb 0.9350 0.4350 0.8699
Nb 0.3409 0.8409 0.6817
Nb 0.2349 0.2349 0.4698
Zn 0.0367 0.0367 0.0734
CELL_PARAMETERS angstrom
2.6632 0.0000 -0.5734
-0.2140 4.6120 -0.9941
0.1899 -0.8243 7.3535
```

Crystal system: orthorhombic
Formation enthalpy at 0 K in eV per formula unit: 0.6
Size of the total moment in μB per formula unit: 0.56



The following is a DFT calculation (GGA-PBE) of crystalline Ti3NbZn2 at its relaxed geometry. Values from VASP.

Geometry as Quantum ESPRESSO input:
```
&SYSTEM
  ibrav = 0, nat = 12, ntyp = 3
/
ATOMIC_SPECIES
Ti 47.87 Ti.upf
Nb 92.91 Nb.upf
Zn 65.41 Zn.upf
ATOMIC_POSITIONS crystal
Ti 0.8326 0.3349 0.7532
Ti 0.5000 0.0000 0.2493
Ti 0.1674 0.6651 0.2468
Ti 0.8325 0.3349 0.2468
Ti 0.1675 0.6651 0.7532
Ti 0.5000 0.0000 0.7507
Nb 0.3372 0.3255 0.0000
Nb 0.6628 0.6745 0.0000
Zn 0.0000 0.0000 0.0000
Zn 0.0000 0.0000 0.5000
Zn 0.3331 0.3338 0.5000
Zn 0.6669 0.6662 0.5000
CELL_PARAMETERS angstrom
-0.8461 -0.8486 -4.3942
-4.1396 -5.8927 -0.4255
-5.1410 3.5902 0.2965
```

Crystal system: orthorhombic
Formation enthalpy at 0 K in eV per formula unit: -0.7
Size of the total moment in μB per formula unit: 0.00



The following is a DFT calculation (GGA-PBE) of crystalline TiNbZn4 at its relaxed geometry. Values from VASP.

Geometry as Quantum ESPRESSO input:
```
&SYSTEM
  ibrav = 0, nat = 6, ntyp = 3
/
ATOMIC_SPECIES
Nb 92.91 Nb.upf
Zn 65.41 Zn.upf
Ti 47.87 Ti.upf
ATOMIC_POSITIONS crystal
Nb 0.2500 0.2500 0.2500
Zn 0.6250 0.6250 0.1249
Zn 0.6250 0.1249 0.6250
Zn 0.6250 0.6250 0.6250
Zn 0.1249 0.6250 0.6250
Ti 0.0000 0.0000 0.0000
CELL_PARAMETERS angstrom
-0.3966 -3.5985 -3.5115
4.1225 -2.4209 -1.6068
0.7337 -4.8317 1.2465
```

Crystal system: cubic
Formation enthalpy at 0 K in eV per formula unit: -0.8
Size of the total moment in μB per formula unit: 0.64



The following is a DFT calculation (GGA-PBE) of crystalline Ti3NbZn at its relaxed geometry. Values from VASP.

Geometry as Quantum ESPRESSO input:
```
&SYSTEM
  ibrav = 0, nat = 5, ntyp = 3
/
ATOMIC_SPECIES
Nb 92.91 Nb.upf
Zn 65.41 Zn.upf
Ti 47.87 Ti.upf
ATOMIC_POSITIONS crystal
Nb 0.0000 0.0000 0.0000
Zn 0.5000 0.5000 0.5000
Ti 0.0000 0.5000 0.0000
Ti 0.0000 0.0000 0.5000
Ti 0.5000 0.0000 0.0000
CELL_PARAMETERS angstrom
-4.2276 -0.3429 2.1976
1.7047 -3.5313 2.7284
1.4287 3.1988 3.2475
```

Crystal system: cubic
Formation enthalpy at 0 K in eV per formula unit: 5.0
Size of the total moment in μB per formula unit: 1.16



The following is a DFT calculation (GGA-PBE) of crystalline Ti2Nb3Zn at its relaxed geometry. Values from VASP.

Geometry as Quantum ESPRESSO input:
```
&SYSTEM
  ibrav = 0, nat = 12, ntyp = 3
/
ATOMIC_SPECIES
Ti 47.87 Ti.upf
Nb 92.91 Nb.upf
Zn 65.41 Zn.upf
ATOMIC_POSITIONS crystal
Ti 0.7462 0.1250 0.3731
Ti 0.2538 0.8750 0.6269
Ti 0.7482 0.6269 0.8731
Ti 0.2518 0.3731 0.1269
Nb 0.6899 0.6563 0.5088
Nb 0.3101 0.3437 0.4912
Nb 0.6476 0.1811 0.9912
Nb 0.8346 0.0846 0.7500
Nb 0.3524 0.8189 0.0088
Nb 0.1654 0.9154 0.2500
Zn 0.8321 0.5821 0.2500
Zn 0.1679 0.4179 0.7500
CELL_PARAMETERS angstrom
4.5407 1.2485 -2.9511
-1.4646 5.3324 -0.5531
-0.2722 -0.3776 8.3337
```

Crystal system: monoclinic
Formation enthalpy at 0 K in eV per formula unit: 0.3
Size of the total moment in μB per formula unit: 0.00